P.
ZnInMo3: optimized geometry, PBE-GGA.

a b c (Å): 4.8922 4.8922 4.8922
angles (deg): 90.00 90.00 90.00
Sites, in units of the cell vectors:
Mo1 0.5000 0.0000 0.0000
Mo2 0.0000 0.0000 0.5000
Mo3 0.0000 0.5000 0.0000
Zn1 0.5000 0.5000 0.5000
In1 0.0000 0.0000 0.0000

Values from the calculation:
Space-group type: Pm-3m (221)
Crystal system: cubic
M_tot in μB/f.u.: 0.00

---

Q.
ZnInMo3: optimized geometry, PBE-GGA.

a b c (Å): 4.5999 4.5999 4.5999
angles (deg): 90.00 90.00 90.00
Sites, in units of the cell vectors:
Zn1 0.0000 0.0000 0.0000
Mo1 0.0000 0.5000 0.0000
Mo2 0.0000 0.0000 0.5000
Mo3 0.5000 0.0000 0.0000
In1 0.5000 0.5000 0.5000

Values from the calculation:
Space-group type: Pm-3m (221)
Crystal system: cubic
M_tot in μB/f.u.: 0.00

---

Stability summary - winner: Q; margin: 978 meV per atom.

---

P.
Zr3InMo: optimized geometry, PBE-GGA.

a b c (Å): 5.1668 5.1668 5.1668
angles (deg): 90.00 90.00 90.00
Sites, in units of the cell vectors:
In1 0.0000 0.0000 0.0000
Zr1 0.0000 0.0000 0.5000
Zr2 0.0000 0.5000 0.0000
Zr3 0.5000 0.0000 0.0000
Mo1 0.5000 0.5000 0.5000

Values from the calculation:
Space-group type: Pm-3m (221)
Crystal system: cubic
M_tot in μB/f.u.: 0.00

---

Q.
Zr3InMo: optimized geometry, PBE-GGA.

a b c (Å): 5.0532 5.0532 5.0532
angles (deg): 90.00 90.00 90.00
Sites, in units of the cell vectors:
In1 0.5000 0.5000 0.5000
Zr1 0.5000 0.0000 0.0000
Zr2 0.0000 0.0000 0.5000
Zr3 0.0000 0.5000 0.0000
Mo1 0.0000 0.0000 0.0000

Values from the calculation:
Space-group type: Pm-3m (221)
Crystal system: cubic
M_tot in μB/f.u.: 0.00

---

Stability summary - winner: Q; margin: 1065 meV per atom.

---

P.
InN: optimized geometry, PBE-GGA.

a b c (Å): 8.5593 8.5593 3.6703
angles (deg): 90.00 90.00 120.00
Sites, in units of the cell vectors:
In1 0.9180 0.3236 0.2500
In2 0.4056 0.0820 0.2500
In3 0.6764 0.5944 0.2500
In4 0.3236 0.4056 0.7500
In5 0.0820 0.6764 0.7500
In6 0.5944 0.9180 0.7500
N1 0.3312 0.9223 0.7500
N2 0.5911 0.6688 0.7500
N3 0.6688 0.0777 0.2500
N4 0.0777 0.4089 0.7500
N5 0.4089 0.3312 0.2500
N6 0.9223 0.5911 0.2500

Values from the calculation:
Space-group type: P6_3/m (176)
Crystal system: hexagonal
M_tot in μB/f.u.: 0.00

---

Q.
InN: optimized geometry, PBE-GGA.

a b c (Å): 3.5849 3.5849 5.7893
angles (deg): 90.00 90.00 120.00
Sites, in units of the cell vectors:
In1 0.6667 0.3333 0.5005
In2 0.3333 0.6667 0.0005
N1 0.3333 0.6667 0.3795
N2 0.6667 0.3333 0.8795

Values from the calculation:
Space-group type: P6_3mc (186)
Crystal system: hexagonal
M_tot in μB/f.u.: 0.00

---

R.
InN: optimized geometry, PBE-GGA.

a b c (Å): 3.3301 3.3285 3.3300
angles (deg): 60.01 89.98 119.99
Sites, in units of the cell vectors:
N1 0.2258 0.4697 0.2258
In1 0.7258 0.4699 0.7256

Values from the calculation:
Space-group type: Fm-3m (225)
Crystal system: cubic
M_tot in μB/f.u.: 0.00

---

S.
InN: optimized geometry, PBE-GGA.

a b c (Å): 3.5729 3.5731 3.5737
angles (deg): 90.02 60.01 60.02
Sites, in units of the cell vectors:
In1 0.7257 0.8690 0.5947
N1 0.2259 0.1190 0.3446

Values from the calculation:
Space-group type: F-43m (216)
Crystal system: cubic
M_tot in μB/f.u.: 0.00

---

Stability summary - winner: Q; margin: 10 meV per atom.